Record 1
GGA-PBE BaCo2Hg, optimized geometry; total magnetic moment = 2.75 μB/cell; DOS at the Fermi energy = 5.881 states/eV per cell
1.0
-3.440 -3.070 0.198
2.727 -3.189 -2.055
1.607 -1.512 4.483
Ba Co Hg
1 2 1
Direct
0.500 0.750 0.750
0.000 0.984 0.250
0.000 0.516 0.250
0.500 0.250 0.250

---

Record 2
GGA-PBE BaCo2Hg, optimized geometry; total magnetic moment = 2.94 μB/cell; DOS at the Fermi energy = 4.178 states/eV per cell
1.0
3.288 0.000 0.000
0.000 3.284 0.000
0.000 0.000 7.765
Ba Co Hg
1 2 1
Direct
0.500 0.500 0.780
0.000 0.000 0.092
0.500 0.500 0.194
0.000 0.000 0.435

---

Number 1: electronic total energy -3.70 eV/atom. Number 2: electronic total energy -3.76 eV/atom.